First-principles (GGA-PBE) data for an optimized crystal structure of Pr7Cd2Os2, as listed in the Alexandria database.

a = 7.0625 Å, b = 7.3966 Å, c = 7.0625 Å
α = 90.00°, β = 107.40°, γ = 90.00°
With the nearest neighbours (Å) after each atom.
Positions (direct):
1 Cd 0.1701 0.5000 0.1701  1 Cd 2.84
2 Os 0.7063 0.0000 0.2937  6 Pr 2.84-2.95
3 Pr 0.5002 0.7598 0.4998  2 Os 2.94-2.95
4 Pr 0.5003 0.7495 0.9998  2 Os 2.84
5 Os 0.2937 0.0000 0.7063  6 Pr 2.84-2.95
6 Pr 0.4998 0.2402 0.5002  2 Os 2.94-2.95
7 Pr 0.0000 0.0000 0.0000  2 Os 3.34
8 Pr 0.4997 0.2505 0.0002  2 Os 2.84
9 Cd 0.8299 0.5000 0.8299  1 Cd 2.84
10 Pr 0.0002 0.7495 0.4997  2 Os 2.84
11 Pr 0.9998 0.2505 0.5003  2 Os 2.84

Summary:
Space-group type: No. 65
N(E_F) in states/eV/f.u.: 12.4
Energy in eV per atom: -5.32
Energy relative to the lowest polymorph listed for this composition in meV per atom: 20
Energy relative to the elements in eV per atom: -0.067